The following is a DFT calculation (PBE) of a relaxed TlSeBr2Cl crystal.

Unit cell a=5.5086 b=5.5086 c=5.1063 alpha=90.00 beta=90.00 gamma=90.00
Positions (direct):
Tl  0.0000  0.0000  0.0000
Se  0.5000  0.5000  0.0000
Br  0.0000  0.5000  0.5000
Br  0.5000  0.0000  0.5000
Cl  0.5000  0.5000  0.5000

Calculated values
Its density of states at the Fermi level is 1.03 states/eV per atom. The space-group type is P4/mmm (123). For the raw formation energy, the calculation gives 0.153 eV per atom. Its theoretical density is 5.13 g cm⁻³. For the final energy, the calculation gives -2.0559 eV per atom.